No. 1
Here is a relaxed Tb2SiNi crystal from the Alexandria database. Energies are from GGA-PBE.

a = 4.9119 Å, b = 4.9119 Å, c = 4.9119 Å
α = 60.00°, β = 60.00°, γ = 60.00°
With the nearest neighbours (Å) after each atom.
Fractional positions:
Ni  0.0000  0.0000  0.0000  8 Tb 3.01
Si  0.5000  0.5000  0.5000  8 Tb 3.01
Tb  0.2500  0.2500  0.2500  4 Ni 3.01, 4 Si 3.01
Tb  0.7500  0.7500  0.7500  4 Si 3.01, 4 Ni 3.01

- Energy above the most stable polymorph in this dataset: 0.671 eV/f.u.
- Formation energy from raw total energies: -0.460 eV/atom
- Density: 8.018 g cm⁻³

=====

No. 2
Here is a relaxed Ca3MgCu8 crystal from the Alexandria database. Energies are from GGA-PBE.

a = 5.2349 Å, b = 5.2349 Å, c = 9.0279 Å
α = 73.15°, β = 73.15°, γ = 60.00°
With the nearest neighbours (Å) after each atom.
Fractional positions:
Ca  0.3761  0.3761  0.8718  12 Cu 3.07-3.11, 4 Ca 3.26-3.28
Ca  0.9951  0.9951  0.0147  12 Cu 3.02-3.21, 1 Mg 3.11, 3 Ca 3.26
Ca  0.5045  0.5045  0.4865  12 Cu 2.93-3.10, 3 Mg 3.15, 1 Ca 3.28
Mg  0.8731  0.8731  0.3806  12 Cu 2.97-3.07, 4 Ca 3.11-3.15
Cu  0.9394  0.4343  0.1919  6 Cu 2.56-2.64
Cu  0.4415  0.9382  0.6821  6 Cu 2.59-2.65
Cu  0.4343  0.4343  0.1919  6 Cu 2.56-2.64
Cu  0.9382  0.9382  0.6821  6 Cu 2.59-2.65
Cu  0.1881  0.1881  0.4358  6 Cu 2.56-2.59
Cu  0.6872  0.6872  0.9384  6 Cu 2.64-2.65
Cu  0.4343  0.9394  0.1919  6 Cu 2.56-2.64
Cu  0.9382  0.4415  0.6821  6 Cu 2.59-2.65

- Formation enthalpy at 0 K: -0.111 eV per atom
- Density: 5.370 g cm⁻³

=====

No. 3
Here is a relaxed SnSF2 crystal from the Alexandria database. Energies are from GGA-PBE.

a = 9.9160 Å, b = 9.9160 Å, c = 9.9160 Å
α = 17.44°, β = 17.44°, γ = 17.44°
With the nearest neighbours (Å) after each atom.
Fractional positions:
S  0.5000  0.5000  0.5000  6 S 3.01
Sn  0.0000  0.0000  0.0000  2 F 1.98
F  0.9323  0.9323  0.9323  1 Sn 1.98
F  0.0677  0.0677  0.0677  1 Sn 1.98

- Energy above the most stable polymorph in this dataset: 1.583 eV/f.u.
- Formation energy from raw total energies: -0.614 eV/atom
- Density: 4.101 g cm⁻³

=====

No. 4
Here is a relaxed YZr2As2 crystal from the Alexandria database. Energies are from GGA-PBE.

a = 7.5511 Å, b = 7.5511 Å, c = 3.6551 Å
α = 90.00°, β = 90.00°, γ = 90.00°
With the nearest neighbours (Å) after each atom.
Fractional positions:
Y  0.0000  0.0000  0.0000  4 As 2.91
Y  0.5000  0.5000  0.0000  4 As 2.91
As  0.3589  0.8589  0.0000  6 Zr 2.86-2.88, 2 Y 2.91, 1 As 3.01
As  0.8589  0.6411  0.0000  6 Zr 2.86-2.88, 2 Y 2.91, 1 As 3.01
As  0.6411  0.1411  0.0000  6 Zr 2.86-2.88, 2 Y 2.91, 1 As 3.01
As  0.1411  0.3589  0.0000  6 Zr 2.86-2.88, 2 Y 2.91, 1 As 3.01
Zr  0.1530  0.6530  0.5000  6 As 2.86-2.88
Zr  0.6530  0.8470  0.5000  6 As 2.86-2.88
Zr  0.8470  0.3470  0.5000  6 As 2.86-2.88
Zr  0.3470  0.1530  0.5000  6 As 2.86-2.88

- Energy above the most stable polymorph in this dataset: 0.000 eV/f.u.
- Formation enthalpy at 0 K: -1.016 eV per atom
- Density: 6.712 g cm⁻³

=====

No. 5
Here is a relaxed MnCI2 crystal from the Alexandria database. Energies are from GGA-PBE.

a = 5.7613 Å, b = 5.7613 Å, c = 6.9702 Å
α = 65.59°, β = 65.59°, γ = 90.00°
With the nearest neighbours (Å) after each atom.
Fractional positions:
I  0.6283  0.1250  0.2500  2 Mn 2.47, 2 C 2.49
I  0.1217  0.6250  0.2500  2 Mn 2.47, 2 C 2.49
I  0.3750  0.3717  0.7500  2 Mn 2.47, 2 C 2.49
I  0.8750  0.8783  0.7500  2 Mn 2.47, 2 C 2.49
C  0.5000  0.5000  0.0000  4 I 2.49
C  0.2500  0.7500  0.5000  4 I 2.49
Mn  0.0000  0.0000  0.0000  4 I 2.47
Mn  0.7500  0.2500  0.5000  4 I 2.47

- Energy above the most stable polymorph in this dataset: 0.000 eV/f.u.
- Formation energy from raw total energies: 1.804 eV/atom
- Density: 5.674 g cm⁻³